# La2MgMn, relaxed, DFT GGA-PBE
# **Final energy**: -0.18396 hartree per atom
# **Magnetization**: 6.6 μB/cell
# **Volume**: 27.97 Å³ per atom
# **ΔH_f (0 K)**: 0.1488 eV/atom
data_La2MgMn
_cell_length_a 3.7215
_cell_length_b 5.4032
_cell_length_c 11.1290
_cell_angle_alpha 90.00
_cell_angle_beta 90.00
_cell_angle_gamma 90.00
_symmetry_space_group_name_H-M 'I m m 2'
_symmetry_Int_Tables_number 44
_symmetry_space_group_name_Hall 'I 2 -2'
loop_
_atom_site_label
_atom_site_fract_x
_atom_site_fract_y
_atom_site_fract_z
La1 0.0000 0.0000 0.0000
La2 0.0000 0.5000 0.2063
Mg1 0.0000 0.5000 0.7777
Mn1 0.0000 0.0000 0.4685